First-principles (PBE with a Hubbard U) data for a relaxed structure of ZnCrSF5, as listed in the Alexandria database.

Summary:
The value obtained for the total energy is -4.837 eV per atom.

Lattice parameters (Å, degrees): 6.0642 6.4659 7.3439 71.08 78.48 77.21
Space group P1 (No. 1)
Unique sites:
Zn  0.0000  0.0000  0.0000 [1 per cell]
Zn  0.3237  0.3333  0.4486 [1 per cell]
Cr  0.7716  0.4782  0.0857 [1 per cell]
Cr  0.7768  0.4587  0.5920 [1 per cell]
S  0.2354  0.0282  0.3738 [1 per cell]
S  0.2995  0.1063  0.0955 [1 per cell]
F  0.0723  0.5595  0.5210 [1 per cell]
F  0.0874  0.4128  0.9713 [1 per cell]
F  0.4536  0.5321  0.1995 [1 per cell]
F  0.5184  0.2988  0.6417 [1 per cell]
F  0.6102  0.7276  0.4657 [1 per cell]
F  0.6789  0.5422  0.8330 [1 per cell]
F  0.7498  0.1709  0.1389 [1 per cell]
F  0.8160  0.7821  0.0298 [1 per cell]
F  0.8684  0.3858  0.3437 [1 per cell]
F  0.9744  0.1682  0.7240 [1 per cell]